1.
VASP calculation (PBEsol) on a relaxed structure of BeFeSiOs2.

Cell lengths 4.081, 4.081, 3.721 Å; angles 90.00, 90.00, 90.00 degrees
Atoms (fractional coordinates):
Be  0.000  0.000  0.000
Fe  0.000  0.000  0.500
Si  0.500  0.500  0.500
Os  0.000  0.500  0.000
Os  0.500  0.000  0.000

Values from the calculation:
SG: No. 123
Total moment in μB per formula unit: 1.783
E_form (uncorrected) in eV/atom: 0.620

2.
VASP calculation (PBEsol) on a relaxed structure of CdAgAu2.

Cell lengths 4.130, 4.130, 8.137 Å; angles 90.00, 90.00, 90.00 degrees
Atoms (fractional coordinates):
Cd  0.000  0.000  0.000
Cd  0.500  0.500  0.500
Ag  0.000  0.500  0.750
Ag  0.500  0.000  0.250
Au  0.000  0.000  0.500
Au  0.000  0.500  0.250
Au  0.500  0.000  0.750
Au  0.500  0.500  0.000

Values from the calculation:
ΔH_f (0 K) in meV/atom: -138.0
SG: No. 119
Total moment in μB per formula unit: 0.000

3.
VASP calculation (PBEsol) on a relaxed structure of CaFe2Rh.

Cell lengths 3.086, 4.284, 4.488 Å; angles 90.00, 90.00, 90.00 degrees
Atoms (fractional coordinates):
Ca  0.000  0.000  0.000
Fe  0.000  0.500  0.500
Fe  0.500  0.000  0.500
Rh  0.500  0.500  0.000

Values from the calculation:
ΔH_f (0 K) in meV/atom: 380.2
SG: No. 47
Total moment in μB per formula unit: 5.626

4.
VASP calculation (PBEsol) on a relaxed structure of Li3Fe2P2O8F2.

Cell lengths 5.085, 5.132, 7.025 Å; angles 107.43, 107.86, 97.21 degrees
Atoms (fractional coordinates):
Li  0.000  0.000  0.000
Li  0.260  0.414  0.346
Li  0.740  0.586  0.654
Fe  0.500  0.000  0.000
Fe  0.500  0.000  0.500
P  0.173  0.362  0.743
P  0.827  0.638  0.257
O  0.134  0.761  0.421
O  0.179  0.678  0.848
O  0.243  0.222  0.911
O  0.384  0.340  0.621
O  0.616  0.660  0.379
O  0.757  0.778  0.089
O  0.821  0.322  0.152
O  0.866  0.239  0.579
F  0.368  0.069  0.236
F  0.632  0.931  0.764

Values from the calculation:
SG: No. 2
Total moment in μB per formula unit: 0.997
E_form (uncorrected) in eV/atom: -2.026

5.
VASP calculation (PBEsol) on a relaxed structure of LiYMn2.

Cell lengths 6.569, 6.569, 6.569 Å; angles 90.00, 90.00, 90.00 degrees
Atoms (fractional coordinates):
Li  0.000  0.000  0.000
Li  0.000  0.500  0.500
Li  0.500  0.000  0.500
Li  0.500  0.500  0.000
Y  0.000  0.000  0.500
Y  0.000  0.500  0.000
Y  0.500  0.000  0.000
Y  0.500  0.500  0.500
Mn  0.250  0.250  0.250
Mn  0.250  0.250  0.750
Mn  0.250  0.750  0.250
Mn  0.250  0.750  0.750
Mn  0.750  0.250  0.250
Mn  0.750  0.250  0.750
Mn  0.750  0.750  0.250
Mn  0.750  0.750  0.750

Values from the calculation:
ΔH_f (0 K) in meV/atom: 607.2
SG: No. 225
Total moment in μB per formula unit: 6.534

6.
VASP calculation (PBEsol) on a relaxed structure of CuRe2Os.

Cell lengths 2.845, 4.365, 8.835 Å; angles 90.00, 90.00, 90.00 degrees
Atoms (fractional coordinates):
Cu  0.000  0.000  0.000
Cu  0.500  0.500  0.500
Re  0.000  0.000  0.497
Re  0.000  0.500  0.262
Re  0.500  0.000  0.762
Re  0.500  0.500  0.997
Os  0.000  0.500  0.737
Os  0.500  0.000  0.237

Values from the calculation:
ΔH_f (0 K) in meV/atom: 388.6
SG: No. 44
Total moment in μB per formula unit: 0.000